A plane-wave DFT calculation with PBE was carried out for a relaxed structure of Dy5TmTe4.

Its crystal system is monoclinic. Its calculated total energy is -49.0 eV for the cell shown. For the volume, the calculation gives 31.131 Å³/atom. The mass density is 8.0 g/cm3.

Unit cell a=4.118 b=8.506 c=9.325 alpha=101.96 beta=102.76 gamma=90.00
Element x y z (fractional)
Te  0.333  0.935  0.666
Te  0.989  0.748  0.978
Te  0.667  0.065  0.334
Te  0.011  0.252  0.022
Dy  0.812  0.639  0.624
Dy  0.188  0.361  0.376
Dy  0.500  0.500  0.000
Dy  0.835  0.216  0.671
Dy  0.165  0.784  0.329
Tm  0.500  0.000  0.000

---

A plane-wave DFT calculation with PBE was carried out for a relaxed structure of Dy3TmTe3.

Its crystal system is trigonal. Its calculated total energy is -69.1 eV for the cell shown. For the volume, the calculation gives 29.014 Å³/atom. The mass density is 8.5 g/cm3.

Unit cell a=8.915 b=8.915 c=7.831 alpha=55.30 beta=55.30 gamma=60.00
Element x y z (fractional)
Dy  0.846  0.332  0.745
Dy  0.154  0.668  0.255
Dy  0.332  0.077  0.745
Dy  0.077  0.846  0.745
Dy  0.668  0.923  0.255
Dy  0.923  0.154  0.255
Te  0.465  0.677  0.756
Te  0.898  0.535  0.244
Te  0.323  0.898  0.244
Te  0.677  0.102  0.756
Te  0.102  0.465  0.756
Te  0.535  0.323  0.244
Tm  0.689  0.689  0.933
Tm  0.311  0.311  0.067

---

A plane-wave DFT calculation with PBE was carried out for a relaxed structure of DyTm4Te2.

Its crystal system is trigonal. Its calculated total energy is -32.0 eV for the cell shown. For the volume, the calculation gives 31.385 Å³/atom. The mass density is 8.3 g/cm3.

Unit cell a=5.372 b=5.372 c=9.322 alpha=73.25 beta=73.25 gamma=60.00
Element x y z (fractional)
Te  0.381  0.381  0.856
Te  0.619  0.619  0.144
Tm  0.134  0.134  0.597
Tm  0.866  0.866  0.403
Tm  0.736  0.736  0.791
Tm  0.264  0.264  0.209
Dy  0.500  0.500  0.500